The following is a GGA-PBE calculation of a relaxed NdBe2H6 crystal, from Alexandria via LeMat-Bulk.

a b c (Å): 4.227 4.231 4.587
angles (deg): 104.77 105.25 94.83
Fractional positions:
Nd 0.000 0.000 0.000
Be 0.443 0.448 0.719
Be 0.557 0.552 0.281
H 0.179 0.184 0.581
H 0.215 0.574 0.210
H 0.423 0.790 0.787
H 0.577 0.210 0.213
H 0.785 0.426 0.790
H 0.821 0.816 0.419

Output
DOS(E_F) = 1.295 states/eV per cell
excess energy over the best structure of this formula in the dataset = 11 meV/atom

The following is a GGA-PBE calculation of a relaxed In2HgBi2 crystal, from Alexandria via LeMat-Bulk.

a b c (Å): 6.162 6.162 8.611
angles (deg): 105.70 105.70 86.35
Fractional positions:
In 0.130 0.363 0.362
In 0.363 0.130 0.862
In 0.637 0.870 0.138
In 0.870 0.637 0.638
Hg 0.444 0.556 0.750
Hg 0.556 0.444 0.250
Bi 0.091 0.753 0.026
Bi 0.247 0.909 0.474
Bi 0.753 0.091 0.526
Bi 0.909 0.247 0.974

Output
DOS(E_F) = 3.806 states/eV per cell
energy of formation = 0.0386 eV per atom
excess energy over the best structure of this formula in the dataset = 0 meV/atom

The following is a GGA-PBE calculation of a relaxed RbLaMn2 crystal, from Alexandria via LeMat-Bulk.

a b c (Å): 5.487 5.487 5.487
angles (deg): 60.00 60.00 60.00
Fractional positions:
Rb 0.000 0.000 0.000
La 0.500 0.500 0.500
Mn 0.250 0.250 0.250
Mn 0.750 0.750 0.750

Output
DOS(E_F) = 3.295 states/eV per cell
energy of formation = 0.9587 eV per atom
excess energy over the best structure of this formula in the dataset = 0 meV/atom

The following is a GGA-PBE calculation of a relaxed CaTl6Se4 crystal, from Alexandria via LeMat-Bulk.

a b c (Å): 10.782 10.782 7.345
angles (deg): 90.00 90.00 120.00
Fractional positions:
Ca 0.333 0.667 0.000
Ca 0.667 0.333 0.500
Tl 0.060 0.530 0.376
Tl 0.154 0.308 0.705
Tl 0.154 0.846 0.705
Tl 0.308 0.154 0.205
Tl 0.470 0.530 0.376
Tl 0.470 0.940 0.376
Tl 0.530 0.060 0.876
Tl 0.530 0.470 0.876
Tl 0.692 0.846 0.705
Tl 0.846 0.154 0.205
Tl 0.846 0.692 0.205
Tl 0.940 0.470 0.876
Se 0.189 0.379 0.135
Se 0.189 0.811 0.135
Se 0.333 0.667 0.616
Se 0.379 0.189 0.635
Se 0.621 0.811 0.135
Se 0.667 0.333 0.116
Se 0.811 0.189 0.635
Se 0.811 0.621 0.635

Output
calculated total energy = -3.336 eV per atom

The following is a GGA-PBE calculation of a relaxed Pr3P2I crystal, from Alexandria via LeMat-Bulk.

a b c (Å): 8.373 8.373 8.373
angles (deg): 124.73 84.81 121.38
Fractional positions:
Pr 0.000 0.240 0.240
Pr 0.000 0.760 0.760
Pr 0.500 0.000 0.000
Pr 0.500 0.240 0.740
Pr 0.500 0.500 0.500
Pr 0.500 0.760 0.260
P 0.294 0.726 0.568
P 0.342 0.274 0.068
P 0.658 0.726 0.932
P 0.706 0.274 0.432
I 0.144 0.894 0.250
I 0.856 0.106 0.750

Output
DOS(E_F) = 9.989 states/eV per cell
calculated total energy = -5.475 eV per atom

The following is a GGA-PBE calculation of a relaxed NdAl3Au2 crystal, from Alexandria via LeMat-Bulk.

a b c (Å): 8.028 8.028 8.258
angles (deg): 113.77 113.77 30.71
Fractional positions:
Nd 0.146 0.146 0.088
Nd 0.854 0.854 0.912
Al 0.020 0.020 0.356
Al 0.321 0.321 0.550
Al 0.372 0.372 0.239
Al 0.628 0.628 0.761
Al 0.679 0.679 0.450
Al 0.980 0.980 0.644
Au 0.181 0.181 0.656
Au 0.482 0.482 0.822
Au 0.518 0.518 0.178
Au 0.819 0.819 0.344

Output
DOS(E_F) = 4.703 states/eV per cell
energy of formation = -0.5778 eV per atom
excess energy over the best structure of this formula in the dataset = 72 meV/atom